Model P:
A relaxed NiRu2I crystal. Source: the Alexandria database, functional GGA-PBE.

Structure (extended XYZ):
```
4
Lattice="0.000 3.115 3.115 3.115 0.000 3.115 3.115 3.115 0.000" Properties=species:S:1:pos:R:3 pbc="T T T"
Ni 0.000 0.000 0.000
Ru 1.558 1.558 1.558
Ru 4.673 4.673 4.673
I 3.115 3.115 3.115
```

Results
Volume in Å³ per cell: 60
Calculated density in g cm⁻³: 10.65

Model Q:
A relaxed NiRu2I crystal. Source: the Alexandria database, functional GGA-PBE.

Structure (extended XYZ):
```
8
Lattice="-1.918 1.918 9.177 1.918 -1.918 9.177 1.918 1.918 -9.177" Properties=species:S:1:pos:R:3 pbc="T T T"
Ni 0.000 0.000 0.000
Ni 0.000 1.918 4.588
Ru 2.877 0.768 -2.294
Ru 0.768 0.959 2.294
Ru -0.959 1.151 6.882
Ru 1.151 0.959 11.471
I 1.918 0.000 4.588
I 0.000 0.000 9.177
```

Results
Volume in Å³ per cell: 135
Calculated density in g cm⁻³: 9.54

Most stable: model P

Model P:
A relaxed NiRuI2 crystal. Source: the Alexandria database, functional GGA-PBE.

Structure (extended XYZ):
```
8
Lattice="-2.966 2.966 5.779 2.966 -2.966 5.779 2.966 2.966 -5.779" Properties=species:S:1:pos:R:3 pbc="T T T"
Ni 0.000 0.000 0.000
Ni 0.000 2.966 2.889
Ru 2.966 0.000 2.889
Ru 0.000 0.000 5.779
I 4.449 1.410 -1.445
I 1.410 1.483 1.445
I -1.483 1.556 4.334
I 1.556 1.483 7.224
```

Results
Volume in Å³ per cell: 203
Calculated density in g cm⁻³: 6.75

Model Q:
A relaxed NiRuI2 crystal. Source: the Alexandria database, functional GGA-PBE.

Structure (extended XYZ):
```
4
Lattice="0.000 3.381 3.381 3.381 0.000 3.381 3.381 3.381 0.000" Properties=species:S:1:pos:R:3 pbc="T T T"
Ni 0.000 0.000 0.000
Ru 3.381 3.381 3.381
I 1.690 1.690 1.690
I 5.071 5.071 5.071
```

Results
Volume in Å³ per cell: 77
Calculated density in g cm⁻³: 8.89

Most stable: model P

Model P:
A relaxed NiTeRuI2 crystal. Source: the Alexandria database, functional GGA-PBE.

Structure (extended XYZ):
```
5
Lattice="5.568 0.000 0.000 0.000 5.568 0.000 0.000 0.000 4.956" Properties=species:S:1:pos:R:3 pbc="T T T"
Ni 0.000 0.000 0.000
Te 2.784 2.784 0.000
Ru 2.784 2.784 2.478
I 0.000 2.784 2.478
I 2.784 0.000 2.478
```

Results
Volume in Å³ per cell: 154
Calculated density in g cm⁻³: 5.85

Model Q:
A relaxed NiTeRuI2 crystal. Source: the Alexandria database, functional GGA-PBE.

Structure (extended XYZ):
```
5
Lattice="5.215 0.000 0.000 0.000 5.215 0.000 0.000 0.000 5.084" Properties=species:S:1:pos:R:3 pbc="T T T"
Ni 0.000 0.000 0.000
Te 0.000 0.000 2.542
Ru 2.607 2.607 2.542
I 0.000 2.607 0.000
I 2.607 0.000 0.000
```

Results
Volume in Å³ per cell: 138
Calculated density in g cm⁻³: 6.50

Most stable: model P